Version w
Material: BeCrCu
Method: DFT, PBE
State: relaxed

Lattice parameters (Å, degrees): 4.348 4.348 4.348 147.83 129.58 61.07
Each line ends with the local moment (μB).
Atoms (fractional coordinates):
1 Cr 0.664 0.664 0.000  1.83
2 Cu 0.338 0.338 0.000  0.12
3 Be 0.998 0.998 0.000  -0.02

## Properties
Crystal system: orthorhombic


Version x
Material: BeCrCu
Method: DFT, PBE
State: relaxed

Lattice parameters (Å, degrees): 3.773 3.773 3.773 60.00 60.00 60.00
Each line ends with the local moment (μB).
Atoms (fractional coordinates):
1 Be 0.750 0.750 0.750  -0.03
2 Cu 0.500 0.500 0.500  0.07
3 Cr 0.000 0.000 0.000  2.81

## Properties
Crystal system: cubic


Version y
Material: BeCrCu
Method: DFT, PBE
State: relaxed

Lattice parameters (Å, degrees): 5.705 5.707 2.403 77.80 77.88 24.31
Atoms (fractional coordinates):
1 Cu 0.344 0.344 0.656
2 Cr 0.658 0.658 0.342
3 Be 0.998 0.998 0.002

## Properties
Crystal system: orthorhombic


Version z
Material: BeCrCu
Method: DFT, PBE
State: relaxed

Lattice parameters (Å, degrees): 2.471 2.471 6.113 90.00 90.00 120.00
Each line ends with the local moment (μB).
Atoms (fractional coordinates):
1 Cr 0.333 0.667 0.321  0.19
2 Be 0.000 0.000 0.997  0.00
3 Cu 0.667 0.333 0.683  0.01

## Properties
Crystal system: trigonal


So which one is most stable? That would be version y, about 0.122 eV/atom below the next structure.


Version w
Material: Be2Cr2Cu
Method: DFT, PBE
State: relaxed

Lattice parameters (Å, degrees): 3.146 3.146 6.123 75.12 75.12 90.00
Atoms (fractional coordinates):
1 Cu 0.000 0.000 0.000
2 Cr 0.250 0.750 0.500
3 Cr 0.750 0.250 0.500
4 Be 0.410 0.410 0.181
5 Be 0.590 0.590 0.819

## Properties
Crystal system: tetragonal


Version x
Material: Be2Cr2Cu
Method: DFT, PBE
State: relaxed

Lattice parameters (Å, degrees): 5.701 5.701 3.115 90.00 90.00 90.00
Atoms (fractional coordinates):
1 Cr 0.826 0.326 0.500
2 Cr 0.674 0.826 0.500
3 Cr 0.326 0.174 0.500
4 Cr 0.174 0.674 0.500
5 Be 0.624 0.124 0.000
6 Be 0.376 0.876 0.000
7 Be 0.876 0.624 0.000
8 Be 0.124 0.376 0.000
9 Cu 0.500 0.500 0.000
10 Cu 0.000 0.000 0.000

## Properties
Crystal system: tetragonal


So which one is most stable? That would be version x, about 0.299 eV/atom below the next structure.